#w
This record from Alexandria describes KLa2Pt at its PBEsol-relaxed geometry. The functional is SCAN.

a = 4.049 Å, b = 4.049 Å, c = 9.688 Å
α = 90.00°, β = 90.00°, γ = 90.00°
Space group P4mm (No. 99)
Symmetry-distinct sites (fractional):
K1 0.000 0.000 0.000 x1
La1 0.000 0.000 0.621 x1
La2 0.500 0.500 0.354 x1
Pt1 0.500 0.500 0.645 x1

#x
This record from Alexandria describes KLa2Pt at its PBEsol-relaxed geometry. The functional is SCAN.

a = 4.280 Å, b = 4.547 Å, c = 5.575 Å
α = 90.00°, β = 90.00°, γ = 90.00°
Space group Pmmm (No. 47)
Symmetry-distinct sites (fractional):
K1 0.000 0.000 0.000 x1
La1 0.500 0.000 0.500 x1
La2 0.500 0.500 0.000 x1
Pt1 0.000 0.500 0.500 x1

Compare the structures above. Which one is the least stable? #x is.